# HfBePS2, relaxed, DFT GGA-PBE
# Total DFT energy (no corrections) = -5.159 eV per atom
# N(E_F) = 1.08 states/eV per atom
# ΔE_f (raw) = 1.6 eV per formula unit
data_HfBePS2
_cell_length_a 4.853
_cell_length_b 4.853
_cell_length_c 5.122
_cell_angle_alpha 90.00
_cell_angle_beta 90.00
_cell_angle_gamma 90.00
_space_group_name_H-M_alt 'P 1'
_space_group_IT_number 1
_space_group_name_Hall 'P 1'
loop_
_atom_site_label
_atom_site_type_symbol
_atom_site_fract_x
_atom_site_fract_y
_atom_site_fract_z
Hf1 Hf 0.000 0.000 0.000
Be1 Be 0.500 0.500 0.500
P1 P 0.000 0.000 0.500
S1 S 0.000 0.500 0.000
S2 S 0.500 0.000 0.000